{
  "formula": "Er6TmIn",
  "functional": "GGA-PBE",
  "state": "relaxed",
  "lattice_angstrom": [[6.346, -0.699, -1.318], [-3.010, 5.631, -1.318], [-1.874, -2.770, 8.533]],
  "species": ["Er", "Er", "Er", "Er", "Er", "Er", "In", "Tm"],
  "frac_coords": [[0.185, 0.185, 0.750], [0.318, 0.752, 0.750], [0.815, 0.815, 0.250], [0.682, 0.248, 0.250], [0.248, 0.682, 0.250], [0.752, 0.318, 0.750], [0.000, 0.000, 0.000], [0.500, 0.500, 0.500]],
  "polymorph_energy_mev_per_atom": 157.8,
  "dft_energy_ev_per_cell": -34.25,
  "n_ef_per_ev_fu": 7.90,
  "magnetic_moment_mub_per_fu": 0.00,
  "formation_enthalpy_0k_ev_per_atom": 0.04
}


{
  "formula": "SiINO2",
  "functional": "GGA-PBE",
  "state": "relaxed",
  "lattice_angstrom": [[4.107, 0.000, 0.000], [0.000, 4.107, 0.000], [0.000, 0.000, 4.252]],
  "species": ["O", "O", "Si", "I", "N"],
  "frac_coords": [[0.000, 0.500, 0.000], [0.500, 0.000, 0.000], [0.500, 0.500, 0.500], [0.000, 0.000, 0.000], [0.000, 0.000, 0.500]],
  "e_form_raw_ev_per_atom": 0.9060,
  "dft_energy_ev_per_cell": -20.69,
  "n_ef_per_ev_fu": 0.40,
  "magnetic_moment_mub_per_fu": 0.00
}


{
  "formula": "SbAsSe3",
  "functional": "GGA-PBE",
  "state": "relaxed",
  "lattice_angstrom": [[-4.356, 1.438, 2.583], [0.061, -4.555, 2.640], [2.956, 2.214, 3.752]],
  "species": ["As", "Se", "Se", "Se", "Sb"],
  "frac_coords": [[0.500, 0.500, 0.500], [0.500, 0.000, 0.000], [0.000, 0.000, 0.500], [0.000, 0.500, 0.000], [0.000, 0.000, 0.000]],
  "polymorph_energy_mev_per_atom": 951.4,
  "e_form_raw_ev_per_atom": 0.7561,
  "dft_energy_ev_per_cell": -15.44,
  "n_ef_per_ev_fu": 5.58,
  "magnetic_moment_mub_per_fu": 0.00
}


{
  "formula": "Ti5Ga4Pt",
  "functional": "GGA-PBE",
  "state": "relaxed",
  "lattice_angstrom": [[-4.233, 1.050, 3.085], [0.397, -2.112, 5.889], [0.261, 5.420, 3.138]],
  "species": ["Ti", "Ti", "Ti", "Ti", "Ti", "Ga", "Ga", "Ga", "Ga", "Pt"],
  "frac_coords": [[0.032, 0.616, 0.228], [0.876, 0.384, 0.772], [0.260, 0.772, 0.616], [0.700, 0.000, 0.000], [0.648, 0.228, 0.384], [0.355, 0.363, 0.829], [0.718, 0.829, 0.637], [0.184, 0.171, 0.363], [0.547, 0.637, 0.171], [0.190, 0.000, 0.000]],
  "dft_energy_ev_per_cell": -60.25,
  "n_ef_per_ev_fu": 11.12,
  "magnetic_moment_mub_per_fu": 0.01,
  "formation_enthalpy_0k_ev_per_atom": -0.26
}


{
  "formula": "CoNiSbMo2",
  "functional": "GGA-PBE",
  "state": "relaxed",
  "lattice_angstrom": [[-1.272, -4.293, 0.774], [3.995, -1.470, -1.589], [1.752, 0.236, 4.186]],
  "species": ["Mo", "Mo", "Ni", "Sb", "Co"],
  "frac_coords": [[0.500, 0.000, 0.000], [0.000, 0.000, 0.500], [0.000, 0.000, 0.000], [0.000, 0.500, 0.000], [0.500, 0.500, 0.500]],
  "e_form_raw_ev_per_atom": 1.4393,
  "dft_energy_ev_per_cell": -31.48,
  "n_ef_per_ev_fu": 9.85,
  "magnetic_moment_mub_per_fu": 3.66
}


{
  "formula": "K2Cl",
  "functional": "GGA-PBE",
  "state": "relaxed",
  "lattice_angstrom": [[8.884, 0.000, 0.000], [-4.442, 7.694, 0.000], [0.000, 0.000, 13.854]],
  "species": ["K", "K", "K", "K", "K", "K", "K", "K", "Cl", "Cl", "Cl", "Cl"],
  "frac_coords": [[0.633, 0.817, 0.750], [0.000, 0.000, 0.000], [0.000, 0.000, 0.500], [0.183, 0.367, 0.750], [0.183, 0.817, 0.750], [0.367, 0.183, 0.250], [0.817, 0.633, 0.250], [0.817, 0.183, 0.250], [0.333, 0.667, 0.609], [0.667, 0.333, 0.391], [0.333, 0.667, 0.891], [0.667, 0.333, 0.109]],
  "polymorph_energy_mev_per_atom": 255.6,
  "e_form_raw_ev_per_atom": -0.9882,
  "dft_energy_ev_per_cell": -28.02,
  "n_ef_per_ev_fu": 0.47,
  "magnetic_moment_mub_per_fu": 0.00
}


{
  "formula": "CaPt2Br",
  "functional": "GGA-PBE",
  "state": "relaxed",
  "lattice_angstrom": [[-2.256, 0.663, 4.233], [-4.655, -1.245, 0.484], [-1.215, -3.818, 2.721]],
  "species": ["Br", "Pt", "Pt", "Ca"],
  "frac_coords": [[0.500, 0.500, 0.500], [0.750, 0.750, 0.750], [0.250, 0.250, 0.250], [0.000, 0.000, 0.000]],
  "polymorph_energy_mev_per_atom": 727.2,
  "e_form_raw_ev_per_atom": 0.0032,
  "dft_energy_ev_per_cell": -15.74,
  "n_ef_per_ev_fu": 1.74,
  "magnetic_moment_mub_per_fu": 0.00
}


{
  "formula": "GaCuHg2",
  "functional": "GGA-PBE",
  "state": "relaxed",
  "lattice_angstrom": [[3.059, 0.000, 0.000], [1.529, 2.649, 0.000], [1.529, 0.883, 10.706]],
  "species": ["Cu", "Ga", "Hg", "Hg"],
  "frac_coords": [[0.000, 0.000, 0.000], [0.500, 0.500, 0.500], [0.918, 0.918, 0.247], [0.082, 0.082, 0.753]],
  "dft_energy_ev_per_cell": -6.51,
  "n_ef_per_ev_fu": 1.63,
  "magnetic_moment_mub_per_fu": 0.00,
  "formation_enthalpy_0k_ev_per_atom": 0.30
}


{
  "formula": "TcSbH2",
  "functional": "GGA-PBE",
  "state": "relaxed",
  "lattice_angstrom": [[6.185, 0.000, -0.014], [0.000, 3.163, 0.000], [-0.968, 0.000, 5.292]],
  "species": ["H", "H", "H", "H", "Sb", "Sb", "Tc", "Tc"],
  "frac_coords": [[0.557, 0.500, 0.073], [0.722, 0.500, 0.775], [0.557, 0.000, 0.573], [0.722, 0.000, 0.275], [0.170, 0.500, 0.541], [0.170, 0.000, 0.041], [0.831, 0.000, 0.633], [0.831, 0.500, 0.133]],
  "polymorph_energy_mev_per_atom": 268.8,
  "dft_energy_ev_per_cell": -40.55,
  "n_ef_per_ev_fu": 2.15,
  "magnetic_moment_mub_per_fu": 0.17
}


{
  "formula": "BaZrSc3",
  "functional": "GGA-PBE",
  "state": "relaxed",
  "lattice_angstrom": [[5.241, 0.000, 0.000], [0.000, 5.241, 0.000], [0.000, 0.000, 5.241]],
  "species": ["Sc", "Sc", "Sc", "Ba", "Zr"],
  "frac_coords": [[0.500, 0.000, 0.000], [0.000, 0.000, 0.500], [0.000, 0.500, 0.000], [0.000, 0.000, 0.000], [0.500, 0.500, 0.500]],
  "polymorph_energy_mev_per_atom": 754.8,
  "dft_energy_ev_per_cell": -23.15,
  "n_ef_per_ev_fu": 10.33,
  "magnetic_moment_mub_per_fu": 0.00,
  "formation_enthalpy_0k_ev_per_atom": 1.26
}


{
  "formula": "LaMnGe2Pt5",
  "functional": "GGA-PBE",
  "state": "relaxed",
  "lattice_angstrom": [[4.130, 0.000, 0.000], [0.000, 4.130, 0.000], [0.000, 0.000, 10.742]],
  "species": ["Pt", "Pt", "Pt", "Pt", "Pt", "Mn", "La", "Ge", "Ge"],
  "frac_coords": [[0.500, 0.000, 0.851], [0.500, 0.000, 0.149], [0.000, 0.500, 0.149], [0.500, 0.500, 0.500], [0.000, 0.500, 0.851], [0.000, 0.000, 0.000], [0.000, 0.000, 0.500], [0.500, 0.500, 0.727], [0.500, 0.500, 0.273]],
  "dft_energy_ev_per_cell": -58.38,
  "n_ef_per_ev_fu": 4.58,
  "magnetic_moment_mub_per_fu": 4.24,
  "formation_enthalpy_0k_ev_per_atom": -0.54
}


{
  "formula": "CaCePtAu",
  "functional": "GGA-PBE",
  "state": "relaxed",
  "lattice_angstrom": [[3.905, 0.000, 0.000], [0.000, 4.382, 0.000], [-1.952, 0.000, 5.725]],
  "species": ["Au", "Ce", "Pt", "Ca"],
  "frac_coords": [[0.585, 0.500, 0.170], [0.867, 0.500, 0.734], [0.405, 0.000, 0.810], [0.143, 0.000, 0.286]],
  "polymorph_energy_mev_per_atom": 0.0,
  "dft_energy_ev_per_cell": -20.84,
  "n_ef_per_ev_fu": 7.10,
  "magnetic_moment_mub_per_fu": 0.80,
  "formation_enthalpy_0k_ev_per_atom": -0.90
}